Material: KPm4SmSe8
Method: DFT, PBE
State: optimized geometry

Calculated values
crystal system: trigonal
ΔE_f (raw): -1.757 eV/atom

Geometry as CIF:
```
data_KPm4SmSe8
_chemical_formula_sum 'K3 Pm12 Sm3 Se24'
_cell_length_a 8.7836
_cell_length_b 8.7836
_cell_length_c 21.4665
_cell_angle_alpha 90.00
_cell_angle_beta 90.00
_cell_angle_gamma 120.00
_space_group_name_H-M_alt 'R 3 m'
_space_group_IT_number 160
_space_group_name_Hall 'R 3 -2"'
loop_
_atom_site_label
_atom_site_fract_x
_atom_site_fract_y
_atom_site_fract_z
K1 0.0000 0.0000 0.0000
Pm1 0.0000 0.0000 0.2496
Pm2 0.1725 0.3450 0.4566
Sm1 0.0000 0.0000 0.6293
Se1 0.0000 0.0000 0.3823
Se2 0.0000 0.0000 0.8599
Se3 0.0402 0.5201 0.3793
Se4 0.1772 0.3544 0.2059
```